Model w:
The following is a DFT calculation (PBE-GGA) of a relaxed TiOs2I2 crystal.

Properties
Calculated volume = 106.9 Å³/cell

Lattice parameters (Å, degrees): 7.0996 7.0996 7.0996 146.79 146.79 47.68
Atoms (fractional coordinates):
Ti: 0.0000 0.0000 0.0000
Os: 0.2500 0.7500 0.5000
Os: 0.7500 0.2500 0.5000
I: 0.3793 0.3793 0.0000
I: 0.6207 0.6207 0.0000

***

Model x:
The following is a DFT calculation (PBE-GGA) of a relaxed TiOs2I2 crystal.

Properties
Calculated volume = 192.1 Å³/cell

Lattice parameters (Å, degrees): 7.6877 7.6877 3.2497 90.00 90.00 90.00
Atoms (fractional coordinates):
Ti: 0.0000 0.0000 0.0000
Ti: 0.5000 0.5000 0.0000
Os: 0.1416 0.3584 0.5000
Os: 0.3584 0.8584 0.5000
Os: 0.6416 0.1416 0.5000
Os: 0.8584 0.6416 0.5000
I: 0.1656 0.6656 0.0000
I: 0.3344 0.1656 0.0000
I: 0.6656 0.8344 0.0000
I: 0.8344 0.3344 0.0000

***

What is the stability order? It is model x, model w, from most stable to least stable.

***

Model w:
The following is a DFT calculation (PBE-GGA) of a relaxed TiOsI2 crystal.

Properties
Calculated volume = 79.0 Å³/cell

Lattice parameters (Å, degrees): 4.8172 4.8172 4.8172 60.00 60.00 60.00
Atoms (fractional coordinates):
Ti: 0.0000 0.0000 0.0000
Os: 0.5000 0.5000 0.5000
I: 0.2500 0.2500 0.2500
I: 0.7500 0.7500 0.7500

***

Model x:
The following is a DFT calculation (PBE-GGA) of a relaxed TiOsI2 crystal.

Properties
Calculated volume = 224.6 Å³/cell

Lattice parameters (Å, degrees): 7.3796 7.3796 7.3796 130.90 130.90 71.98
Atoms (fractional coordinates):
Ti: 0.0000 0.0000 0.0000
Ti: 0.7500 0.2500 0.5000
Os: 0.2500 0.7500 0.5000
Os: 0.5000 0.5000 0.0000
I: 0.1407 0.6250 0.0157
I: 0.3750 0.3907 0.5157
I: 0.6093 0.1250 0.9843
I: 0.8750 0.8593 0.4843

***

What is the stability order? It is model w, model x, from most stable to least stable.

***

Model w:
The following is a DFT calculation (PBE-GGA) of a relaxed Ti2OsI crystal.

Properties
Calculated volume = 70.3 Å³/cell

Lattice parameters (Å, degrees): 4.6316 4.6316 4.6316 60.00 60.00 60.00
Atoms (fractional coordinates):
Ti: 0.2500 0.2500 0.2500
Ti: 0.7500 0.7500 0.7500
Os: 0.0000 0.0000 0.0000
I: 0.5000 0.5000 0.5000

***

Model x:
The following is a DFT calculation (PBE-GGA) of a relaxed Ti2OsI crystal.

Properties
Calculated volume = 214.9 Å³/cell

Lattice parameters (Å, degrees): 7.4338 7.4338 7.4338 133.13 133.13 68.45
Atoms (fractional coordinates):
Ti: 0.0563 0.6250 0.9313
Ti: 0.3750 0.3063 0.4313
Ti: 0.6937 0.1250 0.0687
Ti: 0.8750 0.9437 0.5687
Os: 0.0000 0.0000 0.0000
Os: 0.7500 0.2500 0.5000
I: 0.2500 0.7500 0.5000
I: 0.5000 0.5000 0.0000

***

What is the stability order? It is model w, model x, from most stable to least stable.

***

Model w:
The following is a DFT calculation (PBE-GGA) of a relaxed TlOs2I crystal.

Properties
Calculated volume = 213.2 Å³/cell

Lattice parameters (Å, degrees): 7.0033 7.0033 7.0033 126.80 126.80 78.58
Atoms (fractional coordinates):
Tl: 0.0000 0.0000 0.0000
Tl: 0.7500 0.2500 0.5000
Os: 0.1511 0.6250 0.0261
Os: 0.3750 0.4011 0.5261
Os: 0.5989 0.1250 0.9739
Os: 0.8750 0.8489 0.4739
I: 0.2500 0.7500 0.5000
I: 0.5000 0.5000 0.0000

***

Model x:
The following is a DFT calculation (PBE-GGA) of a relaxed TlOs2I crystal.

Properties
Calculated volume = 74.7 Å³/cell

Lattice parameters (Å, degrees): 4.7279 4.7279 4.7279 60.00 60.00 60.00
Atoms (fractional coordinates):
Tl: 0.0000 0.0000 0.0000
Os: 0.2500 0.2500 0.2500
Os: 0.7500 0.7500 0.7500
I: 0.5000 0.5000 0.5000

***

What is the stability order? It is model x, model w, from most stable to least stable.

***

Model w:
The following is a DFT calculation (PBE-GGA) of a relaxed Tl2Os2I crystal.

Properties
Calculated volume = 252.3 Å³/cell

Lattice parameters (Å, degrees): 9.3672 9.3672 2.8756 90.00 90.00 90.00
Atoms (fractional coordinates):
Tl: 0.1929 0.3071 0.0000
Tl: 0.3071 0.8071 0.0000
Tl: 0.6929 0.1929 0.0000
Tl: 0.8071 0.6929 0.0000
Os: 0.0848 0.5848 0.5000
Os: 0.4152 0.0848 0.5000
Os: 0.5848 0.9152 0.5000
Os: 0.9152 0.4152 0.5000
I: 0.0000 0.0000 0.0000
I: 0.5000 0.5000 0.0000

***

Model x:
The following is a DFT calculation (PBE-GGA) of a relaxed Tl2Os2I crystal.

Properties
Calculated volume = 139.7 Å³/cell

Lattice parameters (Å, degrees): 11.4313 11.4313 11.4313 162.19 162.19 25.29
Atoms (fractional coordinates):
Tl: 0.1295 0.1295 0.0000
Tl: 0.8705 0.8705 0.0000
Os: 0.2500 0.7500 0.5000
Os: 0.7500 0.2500 0.5000
I: 0.5000 0.5000 0.0000

***

What is the stability order? It is model x, model w, from most stable to least stable.

***

Model w:
The following is a DFT calculation (PBE-GGA) of a relaxed YTl2OsI crystal.

Properties
Calculated volume = 209.5 Å³/cell

Lattice parameters (Å, degrees): 6.0582 6.0582 5.7072 90.00 90.00 90.00
Atoms (fractional coordinates):
Y: 0.0000 0.0000 0.0000
Tl: 0.0000 0.5000 0.0000
Tl: 0.5000 0.0000 0.0000
Os: 0.5000 0.5000 0.5000
I: 0.0000 0.0000 0.5000

***

Model x:
The following is a DFT calculation (PBE-GGA) of a relaxed YTl2OsI crystal.

Properties
Calculated volume = 200.6 Å³/cell

Lattice parameters (Å, degrees): 5.9609 5.9609 5.6462 90.00 90.00 90.00
Atoms (fractional coordinates):
Y: 0.0000 0.0000 0.0000
Tl: 0.0000 0.5000 0.5000
Tl: 0.5000 0.0000 0.5000
Os: 0.5000 0.5000 0.0000
I: 0.0000 0.0000 0.5000

***

What is the stability order? It is model w, model x, from most stable to least stable.